The following is a DFT calculation (PBE) of a relaxed structure of Hf2Ag2Bi.

Computed properties:
Final energy: -5.640 eV/atom
Spin magnetization: 0.02 μB/f.u.

Lattice parameters (Å, degrees): 6.904 6.904 6.904 143.17 143.17 53.07
Atoms (fractional coordinates):
Hf 0.250 0.750 0.500
Ag 0.605 0.605 0.000
Hf 0.750 0.250 0.500
Bi 0.000 0.000 0.000
Ag 0.395 0.395 0.000